Record 1
DFT (PBE) results for a geometry-optimized HOsI2 structure.

Lattice parameters (Å, degrees): 5.7432 5.7432 6.9614 65.64 65.64 90.00
Last column: nearest neighbours and their distance in Å.
Atoms (fractional coordinates):
I 0.3750 0.3992 0.7500  2 H 2.40, 2 Os 2.56
I 0.6008 0.1250 0.2500  2 H 2.40, 2 Os 2.56
I 0.1492 0.6250 0.2500  2 H 2.40, 2 Os 2.56
Os 0.0000 0.0000 0.0000  4 I 2.56
H 0.5000 0.5000 0.0000  4 I 2.40
I 0.8750 0.8508 0.7500  2 H 2.40, 2 Os 2.56
Os 0.7500 0.2500 0.5000  4 I 2.56
H 0.2500 0.7500 0.5000  4 I 2.40

* symmetry: I-42d (122)
* ΔE to the lowest computed polymorph: 0 meV per atom


Record 2
DFT (PBE) results for a geometry-optimized BeNbCu structure.

Lattice parameters (Å, degrees): 5.3730 2.6329 5.9889 77.26 82.55 104.16
Last column: nearest neighbours and their distance in Å.
Atoms (fractional coordinates):
Cu 0.6945 0.4995 0.8229  2 Be 2.23-2.42, 2 Cu 2.46
Nb 0.3686 0.6573 0.1824  2 Nb 2.63, 5 Be 2.64-2.91, 4 Cu 2.70-2.77
Cu 0.5933 0.1125 0.4952  3 Be 2.30-2.31, 2 Cu 2.46
Be 0.8746 0.4313 0.1385  2 Cu 2.23-2.30, 2 Be 2.30
Be 0.9647 0.8282 0.4358  2 Be 2.30, 3 Cu 2.31-2.42
Nb 0.1666 0.2631 0.7664  2 Nb 2.63, 4 Be 2.71-2.74, 5 Cu 2.75-2.83

* symmetry: Cm (8)
* ΔE to the lowest computed polymorph: 133 meV per atom
* DFT formation energy: 0.0512 eV per atom


Record 3
DFT (PBE) results for a geometry-optimized CrN structure.

Lattice parameters (Å, degrees): 3.1199 4.4994 9.2981 90.00 90.00 90.00
Last column: nearest neighbours and their distance in Å.
Atoms (fractional coordinates):
Cr 0.5000 0.0162 0.6461  4 N 1.87-1.94
Cr 0.5000 0.0162 0.3539  4 N 1.87-1.94
N 0.5000 0.2070 0.8326  4 Cr 1.87-1.94
Cr 0.0000 0.5560 0.5000  4 N 1.89-1.94
N 0.0000 0.6988 0.0000  4 Cr 1.87-1.94
Cr 0.0000 0.9838 0.1461  4 N 1.87-1.94
N 0.0000 0.7930 0.3326  4 Cr 1.87-1.94
N 0.5000 0.2070 0.1674  4 Cr 1.87-1.94
Cr 0.5000 0.4440 0.0000  4 N 1.89-1.94
N 0.0000 0.7930 0.6674  4 Cr 1.87-1.94
N 0.5000 0.3012 0.5000  4 Cr 1.87-1.94
Cr 0.0000 0.9838 0.8539  4 N 1.87-1.94

* symmetry: Pmmn (59)
* formation energy without anion corrections: -0.444 eV/atom


Record 4
DFT (PBE) results for a geometry-optimized SrCoOs2 structure.

Lattice parameters (Å, degrees): 2.8879 4.6569 5.0060 90.00 90.00 90.00
Last column: nearest neighbours and their distance in Å.
Atoms (fractional coordinates):
Sr 0.5000 0.0000 0.5000  4 Co 2.74, 2 Sr 2.89, 4 Os 2.89
Co 0.0000 0.5000 0.5000  4 Sr 2.74, 2 Co 2.89, 4 Os 2.89
Os 0.5000 0.5000 0.0000  6 Os 2.74-2.89, 4 Co 2.89
Os 0.0000 0.0000 0.0000  6 Os 2.74-2.89, 4 Sr 2.89

* symmetry: Pmmm (47)
* ΔE to the lowest computed polymorph: 705 meV per atom
* DFT formation energy: 0.9719 eV per atom


Record 5
DFT (PBE) results for a geometry-optimized CaIr2Os structure.

Lattice parameters (Å, degrees): 7.5083 7.5083 5.9828 51.13 51.13 90.00
Last column: nearest neighbours and their distance in Å.
Atoms (fractional coordinates):
Ca 0.2500 0.7500 0.5000  2 Os 2.76, 4 Ir 3.07
Ir 0.6847 0.1250 0.2500  2 Os 2.46
Os 0.7500 0.2500 0.5000  4 Ir 2.46
Ir 0.3750 0.3153 0.7500  2 Os 2.46
Ir 0.8750 0.9347 0.7500  2 Os 2.46
Os 0.0000 0.0000 0.0000  4 Ir 2.46
Ca 0.5000 0.5000 0.0000  2 Os 2.76, 4 Ir 3.07
Ir 0.0653 0.6250 0.2500  2 Os 2.46

* symmetry: I-42d (122)
* ΔE to the lowest computed polymorph: 452 meV per atom
* DFT formation energy: 0.4752 eV per atom


Record 6
DFT (PBE) results for a geometry-optimized La3PrTc structure.

Lattice parameters (Å, degrees): 8.0011 7.8617 13.5335 104.97 90.00 120.59
Last column: nearest neighbours and their distance in Å.
Atoms (fractional coordinates):
La 0.4052 0.7701 0.1351  2 Tc 2.84
La 0.8753 0.2506 0.6253  2 Tc 2.73
Tc 0.2499 0.0000 0.2500  6 La 2.73-2.84
Tc 0.5000 0.5000 0.0000  6 La 2.73-2.84
La 0.6351 0.2299 0.3649  2 Tc 2.84
La 0.3753 0.2506 0.1253  2 Tc 2.73
Tc 0.7501 0.0000 0.7500  6 La 2.73-2.84
La 0.8650 0.7703 0.1350  2 Tc 2.84
La 0.5948 0.2299 0.8649  2 Tc 2.84
La 0.1247 0.7494 0.3747  2 Tc 2.73
La 0.9052 0.7703 0.6350  2 Tc 2.84
Pr 0.6005 0.7012 0.4000  12 La 3.76-4.18
La 0.3649 0.7701 0.6351  2 Tc 2.84
La 0.6247 0.7494 0.8747  2 Tc 2.73
Pr 0.8993 0.2988 0.1000  12 La 3.76-4.18
Pr 0.1007 0.7012 0.9000  12 La 3.76-4.18
La 0.1350 0.2297 0.8650  2 Tc 2.84
La 0.0948 0.2297 0.3650  2 Tc 2.84
Tc 0.0000 0.5000 0.5000  6 La 2.73-2.84
Pr 0.3995 0.2988 0.6000  12 La 3.76-4.18

* symmetry: C2/m (12)
* ΔE to the lowest computed polymorph: 6 meV per atom
* DFT formation energy: 0.0836 eV per atom


Record 7
DFT (PBE) results for a geometry-optimized La3IrCl structure.

Lattice parameters (Å, degrees): 5.6965 5.6965 5.6965 90.00 90.00 90.00
Last column: nearest neighbours and their distance in Å.
Atoms (fractional coordinates):
La 0.0000 0.0000 0.5000  2 Ir 2.85
Ir 0.0000 0.0000 0.0000  6 La 2.85
La 0.0000 0.5000 0.0000  2 Ir 2.85
La 0.5000 0.0000 0.0000  2 Ir 2.85
Cl 0.5000 0.5000 0.5000  12 La 4.03

* symmetry: Pm-3m (221)
* formation energy without anion corrections: -0.543 eV/atom
* ΔE to the lowest computed polymorph: 309 meV per atom


Record 8
DFT (PBE) results for a geometry-optimized GaOs3Au structure.

Lattice parameters (Å, degrees): 4.5136 4.5136 4.5136 90.00 90.00 90.00
Last column: nearest neighbours and their distance in Å.
Atoms (fractional coordinates):
Os 0.0000 0.0000 0.5000  2 Ga 2.26
Au 0.5000 0.5000 0.5000  12 Os 3.19
Os 0.5000 0.0000 0.0000  2 Ga 2.26
Os 0.0000 0.5000 0.0000  2 Ga 2.26
Ga 0.0000 0.0000 0.0000  6 Os 2.26

* symmetry: Pm-3m (221)
* ΔE to the lowest computed polymorph: 0 meV per atom
* DFT formation energy: 1.9989 eV per atom


Record 9
DFT (PBE) results for a geometry-optimized SmPb2S4 structure.

Lattice parameters (Å, degrees): 3.9698 7.1396 13.3522 90.00 90.00 106.14
Last column: nearest neighbours and their distance in Å.
Atoms (fractional coordinates):
Pb 0.1323 0.2646 0.4335  6 S 2.82-3.04
S 0.2125 0.4250 0.6317  3 Pb 2.87-3.04, 2 Sm 2.89, 1 S 3.16
S 0.0310 0.0621 0.2500  2 Sm 2.79, 2 Pb 2.82
S 0.2125 0.4250 0.8683  3 Pb 2.87-3.04, 2 Sm 2.89, 1 S 3.16
S 0.5000 0.0000 0.0000  4 Pb 2.83
S 0.5000 0.0000 0.5000  4 Pb 2.83
S 0.7875 0.5750 0.3683  3 Pb 2.87-3.04, 2 Sm 2.89, 1 S 3.16
Pb 0.8677 0.7354 0.9335  6 S 2.82-3.04
Pb 0.1323 0.2646 0.0665  6 S 2.82-3.04
S 0.9690 0.9379 0.7500  2 Sm 2.79, 2 Pb 2.82
Sm 0.3878 0.7756 0.2500  6 S 2.79-2.89
S 0.7875 0.5750 0.1317  3 Pb 2.87-3.04, 2 Sm 2.89, 1 S 3.16
Pb 0.8677 0.7354 0.5665  6 S 2.82-3.04
Sm 0.6122 0.2244 0.7500  6 S 2.79-2.89

* symmetry: Cmcm (63)
* formation energy without anion corrections: -0.915 eV/atom


Record 10
DFT (PBE) results for a geometry-optimized Ti6Ga3Os structure.

Lattice parameters (Å, degrees): 4.5474 7.6093 9.6357 108.94 90.00 90.00
Last column: nearest neighbours and their distance in Å.
Atoms (fractional coordinates):
Ti 0.7500 0.7584 0.5085  3 Os 2.69-2.72, 4 Ga 2.70-2.83, 2 Ti 2.75-2.92
Ti 0.7500 0.3424 0.3109  1 Os 2.65, 5 Ga 2.69-2.75, 2 Ti 2.73
Ga 0.7500 0.4576 0.6127  9 Ti 2.70-2.94
Ga 0.7500 0.6434 0.2124  8 Ti 2.68-2.76
Ti 0.7500 0.1444 0.6997  3 Os 2.71-2.72, 4 Ga 2.76-2.90, 2 Ti 2.80-2.92
Ga 0.2500 0.5424 0.3873  9 Ti 2.70-2.94
Ti 0.2500 0.0630 0.8831  1 Os 2.61, 4 Ga 2.68-2.71, 3 Ti 2.77-2.82
Ti 0.7500 0.9370 0.1169  1 Os 2.61, 4 Ga 2.68-2.71, 3 Ti 2.77-2.82
Os 0.2500 0.9506 0.5971  8 Ti 2.61-2.72
Ti 0.2500 0.2416 0.4915  3 Os 2.69-2.72, 4 Ga 2.70-2.83, 2 Ti 2.75-2.92
Ti 0.2500 0.6576 0.6891  1 Os 2.65, 5 Ga 2.69-2.75, 2 Ti 2.73
Ga 0.2500 0.7734 0.9841  11 Ti 2.68-2.98
Ti 0.7500 0.5433 0.9108  7 Ga 2.73-2.90, 5 Ti 2.77-3.06
Os 0.7500 0.0494 0.4029  8 Ti 2.61-2.72
Ti 0.2500 0.4567 0.0892  7 Ga 2.73-2.90, 5 Ti 2.77-3.06
Ti 0.7500 0.8451 0.8090  8 Ti 2.73-2.82, 4 Ga 2.94-2.98
Ti 0.2500 0.8556 0.3003  3 Os 2.71-2.72, 4 Ga 2.76-2.90, 2 Ti 2.80-2.92
Ga 0.2500 0.3566 0.7876  8 Ti 2.68-2.76
Ga 0.7500 0.2266 0.0159  11 Ti 2.68-2.98
Ti 0.2500 0.1549 0.1910  8 Ti 2.73-2.82, 4 Ga 2.94-2.98

* symmetry: P2_1/m (11)
* DFT formation energy: -0.4432 eV per atom


Record 11
DFT (PBE) results for a geometry-optimized Ti4Al2W3 structure.

Lattice parameters (Å, degrees): 3.3356 5.2082 9.2218 75.00 90.00 71.32
Last column: nearest neighbours and their distance in Å.
Atoms (fractional coordinates):
W 0.0000 0.0000 0.0000  4 Ti 2.60, 4 Al 2.83
Ti 0.0048 0.9904 0.6618  4 W 2.72-2.76, 2 Al 2.81, 3 Ti 2.83-2.96
W 0.6674 0.6651 0.5480  2 W 2.65, 4 Ti 2.72-2.76, 2 Al 2.81
Ti 0.6551 0.6898 0.8994  2 W 2.60, 4 Ti 2.80-2.83, 2 Al 2.84
W 0.3326 0.3349 0.4520  2 W 2.65, 4 Ti 2.72-2.76, 2 Al 2.81
Al 0.6712 0.6575 0.2237  7 Ti 2.81-3.11, 5 W 2.81-3.00
Ti 0.3449 0.3102 0.1006  2 W 2.60, 4 Ti 2.80-2.83, 2 Al 2.84
Ti 0.9952 0.0096 0.3382  4 W 2.72-2.76, 2 Al 2.81, 3 Ti 2.83-2.96
Al 0.3288 0.3425 0.7763  7 Ti 2.81-3.11, 5 W 2.81-3.00

* symmetry: C2/m (12)
* DFT formation energy: -0.1030 eV per atom


Record 12
DFT (PBE) results for a geometry-optimized MgTe2W structure.

Lattice parameters (Å, degrees): 4.9816 4.9816 4.9816 60.00 60.00 60.00
Last column: nearest neighbours and their distance in Å.
Atoms (fractional coordinates):
W 0.7500 0.7500 0.7500  4 Te 3.05, 4 Mg 3.05
Mg 0.5000 0.5000 0.5000  4 W 3.05, 4 Te 3.05
Te 0.2500 0.2500 0.2500  4 Te 3.05, 4 Mg 3.05
Te 0.0000 0.0000 0.0000  4 W 3.05, 4 Te 3.05

* symmetry: F-43m (216)
* formation energy without anion corrections: 0.957 eV/atom


Record 13
DFT (PBE) results for a geometry-optimized LiScCuRu structure.

Lattice parameters (Å, degrees): 4.3847 4.3847 4.3847 60.00 60.00 60.00
Last column: nearest neighbours and their distance in Å.
Atoms (fractional coordinates):
Sc 0.5000 0.5000 0.5000  4 Cu 2.69, 4 Ru 2.69
Cu 0.7500 0.7500 0.7500  4 Li 2.69, 4 Sc 2.69
Li 0.0000 0.0000 0.0000  4 Ru 2.69, 4 Cu 2.69
Ru 0.2500 0.2500 0.2500  4 Li 2.69, 4 Sc 2.69

* symmetry: F-43m (216)
* DFT formation energy: -0.0637 eV per atom


Record 14
DFT (PBE) results for a geometry-optimized NaVAg2Se4 structure.

Lattice parameters (Å, degrees): 6.3476 6.3476 7.0381 116.67 116.67 90.27
Last column: nearest neighbours and their distance in Å.
Atoms (fractional coordinates):
Ag 0.2502 0.7502 0.5005  4 Se 2.66-2.67
Se 0.1664 0.1664 0.7557  1 V 2.31
Na 0.0022 0.0022 0.0044  4 Se 2.91-2.92
Se 0.5892 0.5892 0.7557  1 V 2.31
Se 0.4111 0.8314 0.2425  1 V 2.31
V 0.4995 0.4995 0.9989  4 Se 2.31
Se 0.8314 0.4111 0.2425  1 V 2.31
Ag 0.7502 0.2502 0.5005  4 Se 2.66-2.67

* symmetry: Fmm2 (42)
* formation energy without anion corrections: -0.496 eV/atom


Record 15
DFT (PBE) results for a geometry-optimized RbHgSeBr2 structure.

Lattice parameters (Å, degrees): 6.5839 6.5839 7.0555 90.00 90.00 90.00
Last column: nearest neighbours and their distance in Å.
Atoms (fractional coordinates):
Br 0.0000 0.5000 0.0000  2 Rb 3.29
Rb 0.0000 0.0000 0.0000  4 Br 3.29, 2 Se 3.53
Hg 0.5000 0.5000 0.5000  4 Se 4.66, 8 Br 4.83
Br 0.5000 0.0000 0.0000  2 Rb 3.29
Se 0.0000 0.0000 0.5000  2 Rb 3.53

* symmetry: P4/mmm (123)
* formation energy without anion corrections: 0.070 eV/atom
* ΔE to the lowest computed polymorph: 650 meV per atom


Record 16
DFT (PBE) results for a geometry-optimized RbBTe2I structure.

Lattice parameters (Å, degrees): 4.8411 4.8411 8.1377 90.00 90.00 90.00
Last column: nearest neighbours and their distance in Å.
Atoms (fractional coordinates):
Te 0.5000 0.0000 0.0000  2 B 2.42
Rb 0.5000 0.5000 0.5000  4 I 3.42
B 0.0000 0.0000 0.0000  4 Te 2.42
Te 0.0000 0.5000 0.0000  2 B 2.42
I 0.0000 0.0000 0.5000  4 Rb 3.42

* symmetry: P4/mmm (123)
* formation energy without anion corrections: 0.141 eV/atom
* ΔE to the lowest computed polymorph: 0 meV per atom


Record 17
DFT (PBE) results for a geometry-optimized Mg7Tl4In structure.

Lattice parameters (Å, degrees): 5.5900 10.0654 6.4294 81.79 64.23 73.88
Last column: nearest neighbours and their distance in Å.
Atoms (fractional coordinates):
Mg 0.5000 0.0000 0.0000  2 In 2.79, 2 Mg 3.07
Mg 0.2054 0.0805 0.5088  1 In 2.93, 4 Tl 3.00-3.17, 4 Mg 3.07-3.20
Mg 0.9605 0.3731 0.7058  5 Mg 3.08-3.38, 4 Tl 3.20-3.29
Tl 0.5973 0.2280 0.5774  8 Mg 3.03-3.25
Mg 0.0395 0.6269 0.2942  5 Mg 3.08-3.38, 4 Tl 3.20-3.29
Tl 0.4027 0.7720 0.4226  8 Mg 3.03-3.25
Mg 0.7946 0.9195 0.4912  1 In 2.93, 4 Tl 3.00-3.17, 4 Mg 3.07-3.20
In 0.0000 0.0000 0.0000  4 Mg 2.79-2.93
Tl 0.7300 0.6906 0.8494  7 Mg 3.00-3.29
Tl 0.2700 0.3094 0.1506  7 Mg 3.00-3.29
Mg 0.3469 0.5341 0.7722  5 Tl 3.03-3.21, 4 Mg 3.17-3.24
Mg 0.6531 0.4659 0.2278  5 Tl 3.03-3.21, 4 Mg 3.17-3.24

* symmetry: C2/m (12)
* ΔE to the lowest computed polymorph: 72 meV per atom
* DFT formation energy: 0.0623 eV per atom


Record 18
DFT (PBE) results for a geometry-optimized NaSnMoH structure.

Lattice parameters (Å, degrees): 7.9017 3.8381 4.5128 90.00 106.30 90.00
Last column: nearest neighbours and their distance in Å.
Atoms (fractional coordinates):
Sn 0.4664 0.0000 0.0194  4 Mo 2.90-3.13, 4 Sn 2.96
Mo 0.7523 0.5000 0.1601  1 H 1.77
Mo 0.7523 0.0000 0.6601  1 H 1.77
Sn 0.4664 0.5000 0.5194  4 Mo 2.90-3.13, 4 Sn 2.96
Na 0.0986 0.5000 0.8305  2 H 2.10
H 0.9859 0.5000 0.2739  1 Mo 1.77
Na 0.0986 0.0000 0.3305  2 H 2.10
H 0.9859 0.0000 0.7739  1 Mo 1.77

* symmetry: Cm (8)
* ΔE to the lowest computed polymorph: 58 meV per atom


Record 19
DFT (PBE) results for a geometry-optimized LaZn2Os structure.

Lattice parameters (Å, degrees): 2.8839 2.8839 10.0908 90.00 90.00 118.19
Last column: nearest neighbours and their distance in Å.
Atoms (fractional coordinates):
La 0.5000 0.5000 0.2500  6 La 2.88-2.96
Zn 0.0000 0.0000 0.5363  2 Os 2.62, 4 Zn 2.88
Os 0.5000 0.5000 0.7500  4 Zn 2.62, 4 Os 2.88
Zn 0.0000 0.0000 0.9637  2 Os 2.62, 4 Zn 2.88

* symmetry: Cmmm (65)
* DFT formation energy: 0.4166 eV per atom


Record 20
DFT (PBE) results for a geometry-optimized RbLiCd2Tc structure.

Lattice parameters (Å, degrees): 5.4004 5.2600 5.4004 90.00 90.00 90.00
Last column: nearest neighbours and their distance in Å.
Atoms (fractional coordinates):
Cd 0.5000 0.0000 0.0000  2 Tc 2.70
Cd 0.0000 0.0000 0.5000  2 Tc 2.70
Li 0.0000 0.5000 0.0000  2 Tc 2.63
Tc 0.0000 0.0000 0.0000  2 Li 2.63, 4 Cd 2.70
Rb 0.5000 0.5000 0.5000  8 Cd 3.77, 4 Li 3.82

* symmetry: P4/mmm (123)
* DFT formation energy: 0.5826 eV per atom


So what do the calculations give for density of states at the Fermi level? Going down the list: 6.1 4.5 9.1 4.8 7.0 27.1 5.5 7.0 8.9 16.1 7.5 4.6 3.0 0.2 9.2 4.4 5.6 3.3 3.0 5.2 states/eV per cell.